(1)
A geometry-optimized Ce2SmCd structure. Source: the Alexandria database, functional PBE-GGA.

Cell and atoms, written as POSCAR:
```
Ce2SmCd
1.0
3.325 0.000 0.000
1.663 2.880 0.000
1.663 0.960 12.532
Sm Ce Cd
1 2 1
Cartesian
3.325 1.920 6.266
1.663 0.960 9.228
4.988 2.880 3.304
0.000 0.000 0.000
```

Properties
- formation enthalpy at 0 K (eV/atom) = 0.2429
- D(E_F) (states/eV/cell) = 9.74
- relative energy among the computed polymorphs (meV per atom) = 261
- DFT total energy (eV per atom) = -4.13

(2)
A geometry-optimized Ce2Si3PdRh4 structure. Source: the Alexandria database, functional PBE-GGA.

Cell and atoms, written as POSCAR:
```
Ce2Si3PdRh4
1.0
4.006 0.000 0.000
0.000 4.006 0.000
0.000 0.000 10.888
Rh Ce Si Pd
4 2 3 1
Cartesian
0.000 0.000 0.000
0.000 2.003 3.632
2.003 0.000 7.256
2.003 2.003 0.000
2.003 0.000 2.848
0.000 2.003 8.040
0.000 0.000 5.444
0.000 2.003 1.284
2.003 0.000 9.605
2.003 2.003 5.444
```

Properties
- D(E_F) (states/eV/cell) = 10.24
- formation energy without anion corrections (eV per atom) = -0.919
- DFT total energy (eV per atom) = -7.19

(3)
A geometry-optimized Th6GeIr2S3 structure. Source: the Alexandria database, functional PBE-GGA.

Cell and atoms, written as POSCAR:
```
Th6GeIr2S3
1.0
4.117 0.000 0.000
0.000 8.462 0.324
-2.059 -2.415 8.760
Th S Ge Ir
6 3 1 2
Cartesian
2.059 3.907 8.901
0.000 2.047 5.920
2.059 4.000 3.164
0.000 2.141 0.182
2.059 -0.026 3.006
0.000 6.074 6.078
0.000 6.262 3.060
2.059 -0.214 6.024
2.059 4.231 0.162
2.059 0.000 0.000
2.059 4.059 6.024
0.000 1.989 3.060
```

Properties
- D(E_F) (states/eV/cell) = 8.55
- formation energy without anion corrections (eV per atom) = -1.333
- DFT total energy (eV per atom) = -7.94

(4)
A geometry-optimized Ho2MgP3Rh12 structure. Source: the Alexandria database, functional PBE-GGA.

Cell and atoms, written as POSCAR:
```
Ho2MgP3Rh12
1.0
6.444 -1.361 -0.965
1.999 6.275 -0.965
1.999 1.163 6.242
P Rh Mg Ho
3 12 1 2
Cartesian
0.999 3.138 -0.483
0.999 0.582 3.121
3.222 -0.681 -0.483
7.623 1.910 4.033
5.016 0.392 0.278
7.316 1.521 1.079
7.623 4.437 0.470
5.506 0.467 3.232
5.506 3.205 -0.628
5.426 5.685 4.033
3.125 4.557 3.232
4.935 5.611 1.079
2.818 1.640 3.841
2.818 4.168 0.278
4.935 2.873 4.939
0.000 0.000 0.000
3.889 2.264 1.606
6.552 3.814 2.705
```

Properties
- formation enthalpy at 0 K (eV/atom) = -0.3608
- D(E_F) (states/eV/cell) = 14.98
- DFT total energy (eV per atom) = -6.76

(5)
A geometry-optimized Ac12Si3C5 structure. Source: the Alexandria database, functional PBE-GGA.

Cell and atoms, written as POSCAR:
```
Ac12Si3C5
1.0
-13.391 -6.022 2.116
5.654 -4.894 -12.812
8.977 -3.859 11.162
Si C Ac
12 20 48
Cartesian
0.515 -11.211 -2.647
-3.589 -6.434 2.305
-8.766 -6.846 3.041
0.757 -6.282 -4.423
0.484 -8.493 4.890
7.595 -5.353 6.828
4.830 -8.341 -1.839
-6.801 -6.834 -1.822
10.006 -7.930 -2.574
0.725 -3.564 3.113
-6.354 -9.422 -6.362
8.041 -7.941 2.288
7.316 -4.377 -0.825
-2.486 -3.964 -1.014
-1.451 -11.222 2.216
-3.868 -5.458 -5.348
-1.482 -8.505 9.752
0.620 -7.388 0.233
2.691 -3.553 -1.749
-2.207 -4.940 6.639
3.726 -10.811 1.480
-4.693 -8.905 5.625
-6.696 -3.011 1.058
4.383 -5.753 2.701
5.933 -5.871 -5.159
-3.143 -9.023 -2.234
2.722 -6.271 -9.286
0.000 0.000 0.000
2.418 -5.764 7.563
-1.178 -9.011 -7.097
4.489 -1.929 5.581
2.827 -2.447 -6.406
3.995 -3.272 3.168
-0.317 -11.648 4.465
1.834 -4.908 -7.317
0.765 -9.389 -5.483
-8.046 -9.459 -3.549
-1.098 -8.700 2.021
-0.594 -9.868 7.783
3.643 -10.963 -3.611
9.777 -9.812 0.224
-3.185 -10.543 -6.715
7.369 -6.407 -7.202
5.002 -5.515 -10.155
-8.258 -8.835 0.479
1.558 -3.127 -3.998
2.338 -6.075 -1.554
7.550 -10.094 -2.813
-6.129 -8.369 7.668
1.734 -2.197 0.192
-1.635 -6.537 -6.658
-4.547 -8.544 -0.156
2.263 -9.613 -0.236
-2.403 -3.813 4.078
-2.001 -4.592 -3.442
2.875 -8.238 7.124
-8.537 -4.964 0.243
6.854 -5.298 10.026
-3.761 -9.261 10.621
6.037 -10.112 0.647
9.286 -5.316 4.015
4.426 -4.232 7.182
9.499 -5.940 -0.013
-6.310 -4.681 3.279
3.241 -10.183 3.908
0.475 -5.386 5.949
-1.023 -5.163 0.702
-0.494 -12.579 0.274
3.915 -7.406 -4.850
5.788 -6.955 4.463
-4.548 -7.821 -3.996
7.103 -6.233 -2.917
5.788 -6.232 0.622
-2.754 -11.503 -2.701
-5.614 -9.477 -9.559
1.962 -6.553 2.551
-5.863 -8.542 3.384
-2.675 -7.370 5.316
-4.797 -4.663 -0.181
-0.722 -8.223 -2.084
```

Properties
- D(E_F) (states/eV/cell) = 50.05
- formation energy without anion corrections (eV per atom) = 0.002
- DFT total energy (eV per atom) = -5.58

(6)
A geometry-optimized NaIrS2 structure. Source: the Alexandria database, functional PBE-GGA.

Cell and atoms, written as POSCAR:
```
NaIrS2
1.0
3.541 0.000 1.003
1.629 3.145 1.003
0.057 0.035 6.554
S Na Ir
2 1 1
Cartesian
1.415 0.861 1.756
3.811 2.318 6.804
2.613 1.590 4.280
0.000 0.000 0.000
```

Properties
- formation energy without anion corrections (eV per atom) = -0.672
- DFT total energy (eV per atom) = -5.28

(7)
A geometry-optimized Sr2ScCr structure. Source: the Alexandria database, functional PBE-GGA.

Cell and atoms, written as POSCAR:
```
Sr2ScCr
1.0
-3.930 2.906 1.144
-1.762 -0.988 -3.545
-3.993 -5.902 1.274
Sr Cr Sc
2 1 1
Cartesian
-5.452 -6.492 -2.237
-3.709 -0.669 -0.028
-3.284 -3.762 -1.726
-5.875 -3.395 -0.542
```

Properties
- formation enthalpy at 0 K (eV/atom) = 0.5621
- D(E_F) (states/eV/cell) = 5.29
- relative energy among the computed polymorphs (meV per atom) = 172
- DFT total energy (eV per atom) = -4.27